Entry from Alexandria: a relaxed Be2V2P crystal (PBE).

Structure (POSCAR):
```
Be2V2P
1.0
-4.666 2.657 -1.521
-1.378 -4.298 -3.281
-1.652 -1.431 2.568
P V Be
2 4 4
direct
0.000 0.000 0.000
0.500 0.500 0.000
0.178 0.678 0.500
0.678 0.822 0.500
0.822 0.322 0.500
0.322 0.178 0.500
0.376 0.876 0.000
0.876 0.624 0.000
0.624 0.124 0.000
0.124 0.376 0.000
```

Total magnetization (μB per formula unit): 0.00
Density (Mg/m³): 4.77
Crystal system: tetragonal
ΔH_f (0 K) (eV per atom): -0.237

Entry from Alexandria: a relaxed Be2VP crystal (PBE).

Structure (POSCAR):
```
Be2VP
1.0
-2.992 -5.407 -1.765
3.710 -0.344 -5.237
1.880 -4.095 -2.343
P V Be
2 2 4
direct
0.500 0.500 0.000
0.250 0.750 0.500
0.000 0.000 0.000
0.750 0.250 0.500
0.578 0.125 0.250
0.172 0.625 0.250
0.375 0.422 0.750
0.875 0.828 0.750
```

Total magnetization (μB per formula unit): 0.00
Density (Mg/m³): 3.54
Crystal system: tetragonal
ΔH_f (0 K) (eV per atom): 0.114

Entry from Alexandria: a relaxed BePW2 crystal (PBE).

Structure (POSCAR):
```
BePW2
1.0
-5.056 1.428 -1.100
1.408 -4.306 -0.263
-1.390 -1.217 2.204
P W Be
1 2 1
direct
0.500 0.500 0.000
0.000 0.000 0.000
0.500 0.000 0.500
0.000 0.500 0.500
```

Total magnetization (μB per formula unit): 0.00
Density (Mg/m³): 12.50
Crystal system: monoclinic
Offset from the most stable computed form (eV per formula unit): 1.38
ΔH_f (0 K) (eV per atom): 0.249